This record from Alexandria via LeMat-Bulk describes Sc5Al2Co2Pd after structural relaxation. The functional is PBE-GGA.

Results
The value obtained for the formation energy from the elements is -435 meV per atom.

Cell lengths 3.2846, 10.5995, 10.5995 Å; angles 90.00, 90.00, 90.00 degrees
Sites, in units of the cell vectors:
Sc 0.5000 0.2028 0.0741
Sc 0.5000 0.7972 0.9259
Sc 0.5000 0.0741 0.7972
Sc 0.5000 0.7028 0.4259
Sc 0.5000 0.9259 0.2028
Sc 0.5000 0.2972 0.5741
Sc 0.5000 0.5741 0.7028
Sc 0.5000 0.4259 0.2972
Sc 0.5000 0.5000 0.0000
Sc 0.5000 0.0000 0.5000
Al 0.0000 0.6744 0.1744
Al 0.0000 0.3256 0.8256
Al 0.0000 0.1744 0.3256
Al 0.0000 0.8256 0.6744
Co 0.0000 0.1359 0.6359
Co 0.0000 0.8641 0.3641
Co 0.0000 0.6359 0.8641
Co 0.0000 0.3641 0.1359
Pd 0.0000 0.0000 0.0000
Pd 0.0000 0.5000 0.5000

---

This record from Alexandria via LeMat-Bulk describes TiAlCoPd after structural relaxation. The functional is PBE-GGA.

Results
The value obtained for the formation energy from the elements is -606 meV per atom.

Cell lengths 3.9826, 3.9826, 4.4746 Å; angles 116.43, 116.42, 90.00 degrees
Sites, in units of the cell vectors:
Ti 0.7500 0.2500 0.5000
Al 0.2500 0.7500 0.5000
Co 0.0000 0.0000 0.0000
Pd 0.5000 0.5000 0.0000